Record 1
## YTe2Os2 (GGA-PBE)

Data for a relaxed structure of YTe2Os2.

```
YTe2Os2
1.0
4.266 0.000 0.000
0.000 4.266 0.000
2.133 2.133 6.126
Os Te Y
2 2 1
direct
0.750 0.250 0.500 Os
0.250 0.750 0.500 Os
0.371 0.371 0.258 Te
0.629 0.629 0.742 Te
0.000 0.000 0.000 Y
```

Properties
energy relative to the lowest polymorph listed for this composition = 0.00 kcal/mol of atoms
crystal system = tetragonal
space-group type = I4/mmm, No. 139
formation energy (no corrections) = 0.180 eV per atom
calculated total energy = -0.504 Ry per atom
density of states at the Fermi level = 4.2 states/eV per cell

=====

Record 2
## Ca4As2N (GGA-PBE)

Data for a relaxed structure of Ca4As2N.

```
Ca4As2N
1.0
-4.287 -4.458 2.732
4.829 -2.503 3.492
0.655 7.691 4.607
Ca As N
8 4 2
direct
0.914 0.250 0.081 Ca
0.988 0.250 0.661 Ca
0.453 0.511 0.275 Ca
0.086 0.750 0.919 Ca
0.547 0.011 0.725 Ca
0.547 0.489 0.725 Ca
0.453 0.989 0.275 Ca
0.012 0.750 0.339 Ca
0.582 0.750 0.015 As
0.217 0.250 0.436 As
0.418 0.250 0.985 As
0.783 0.750 0.564 As
0.803 0.250 0.814 N
0.197 0.750 0.186 N
```

Properties
energy relative to the lowest polymorph listed for this composition = 3.41 kcal/mol of atoms
crystal system = monoclinic
space-group type = P2_1/m, No. 11
formation energy (no corrections) = -0.898 eV per atom
calculated total energy = -0.335 Ry per atom
density of states at the Fermi level = 3.4 states/eV per cell